VASP calculation (PBE-GGA) on crystalline Mg2WCl at its relaxed geometry.

Lattice parameters (Å, degrees): 5.4301 5.4301 5.4301 135.90 135.90 64.13
With the nearest neighbours (Å) after each atom.
Fractional positions:
Mg (0.2500, 0.7500, 0.5000)  4 Mg 2.88, 4 Cl 3.07, 4 W 3.07
Mg (0.7500, 0.2500, 0.5000)  4 Mg 2.88, 4 Cl 3.07, 4 W 3.07
W (0.0000, 0.0000, 0.0000)  4 Cl 2.88, 8 Mg 3.07
Cl (0.5000, 0.5000, 0.0000)  4 W 2.88, 8 Mg 3.07

Excess energy over the best structure of this formula in the dataset (meV per atom): 995

=====

VASP calculation (PBE-GGA) on crystalline MgWCl at its relaxed geometry.

Lattice parameters (Å, degrees): 7.1771 6.8159 3.0737 83.98 70.81 25.21
With the nearest neighbours (Å) after each atom.
Fractional positions:
Mg (0.0000, 0.0000, 0.0000)  2 Cl 2.62, 2 W 2.76
W (0.3247, 0.3247, 0.6753)  2 Cl 2.62, 2 Mg 2.76
Cl (0.6623, 0.6623, 0.3377)  2 Mg 2.62, 2 W 2.62

Excess energy over the best structure of this formula in the dataset (meV per atom): 186

=====

VASP calculation (PBE-GGA) on crystalline Mg2WCl at its relaxed geometry.

Lattice parameters (Å, degrees): 5.9829 5.9829 5.9829 103.68 103.68 121.81
With the nearest neighbours (Å) after each atom.
Fractional positions:
Mg (0.0911, 0.6250, 0.9661)  2 Cl 2.55
Mg (0.3750, 0.3411, 0.4661)  2 Cl 2.55
Mg (0.6589, 0.1250, 0.0339)  2 Cl 2.55
Mg (0.8750, 0.9089, 0.5339)  2 Cl 2.55
W (0.2500, 0.7500, 0.5000)  4 Mg 2.89, 2 Cl 2.91
W (0.5000, 0.5000, 0.0000)  4 Mg 2.89, 2 Cl 2.91
Cl (0.0000, 0.0000, 0.0000)  4 Mg 2.55
Cl (0.7500, 0.2500, 0.5000)  4 Mg 2.55

Excess energy over the best structure of this formula in the dataset (meV per atom): 907

=====

VASP calculation (PBE-GGA) on crystalline YMgCl at its relaxed geometry.

Lattice parameters (Å, degrees): 7.7287 7.3830 3.4538 82.44 71.26 26.30
With the nearest neighbours (Å) after each atom.
Fractional positions:
Y (0.0000, 0.0000, 0.0000)  2 Cl 2.84
Mg (0.6827, 0.6827, 0.3173)  2 Cl 2.99, 2 Y 3.19
Cl (0.3481, 0.3481, 0.6519)  2 Y 2.84, 2 Mg 2.99

VASP energy (eV/atom): -4.040

=====

VASP calculation (PBE-GGA) on crystalline Y4MgCl at its relaxed geometry.

Lattice parameters (Å, degrees): 6.5382 6.5382 6.5382 60.00 60.00 60.00
With the nearest neighbours (Å) after each atom.
Fractional positions:
Y (0.3769, 0.3769, 0.3769)  6 Y 3.22-3.32
Y (0.3769, 0.3769, 0.8692)  6 Y 3.22-3.32
Y (0.3769, 0.8692, 0.3769)  6 Y 3.22-3.32
Y (0.8692, 0.3769, 0.3769)  6 Y 3.22-3.32
Mg (0.7500, 0.7500, 0.7500)  12 Y 3.83, 4 Cl 4.00
Cl (0.0000, 0.0000, 0.0000)  12 Y 3.84, 4 Mg 4.00

VASP energy (eV/atom): -4.579

=====

VASP calculation (PBE-GGA) on crystalline YMgCl at its relaxed geometry.

Lattice parameters (Å, degrees): 3.5832 3.5832 7.3127 90.00 90.00 120.00
With the nearest neighbours (Å) after each atom.
Fractional positions:
Y (0.0000, 0.0000, 0.0000)  3 Cl 2.82
Mg (0.6667, 0.3333, 0.6539)  3 Y 3.27, 3 Cl 3.53, 6 Mg 3.58
Cl (0.3333, 0.6667, 0.2627)  3 Y 2.82

VASP energy (eV/atom): -4.133

=====

VASP calculation (PBE-GGA) on crystalline YMg2Cl at its relaxed geometry.

Lattice parameters (Å, degrees): 5.4641 5.4641 3.6027 90.00 90.00 90.00
With the nearest neighbours (Å) after each atom.
Fractional positions:
Y (0.0000, 0.0000, 0.0000)  8 Mg 3.27, 2 Y 3.60
Mg (0.0000, 0.5000, 0.5000)  4 Cl 3.27, 4 Y 3.27, 2 Mg 3.60
Mg (0.5000, 0.0000, 0.5000)  4 Cl 3.27, 4 Y 3.27, 2 Mg 3.60
Cl (0.5000, 0.5000, 0.0000)  8 Mg 3.27, 2 Cl 3.60

Excess energy over the best structure of this formula in the dataset (meV per atom): 359

=====

VASP calculation (PBE-GGA) on crystalline YMgCl at its relaxed geometry.

Lattice parameters (Å, degrees): 8.3137 8.3137 8.3137 156.36 156.36 33.67
With the nearest neighbours (Å) after each atom.
Fractional positions:
Y (0.0000, 0.0000, 0.0000)  4 Cl 2.89
Mg (0.3531, 0.3531, 0.0000)  4 Y 3.36, 4 Mg 3.41
Cl (0.6006, 0.6006, 0.0000)  4 Y 2.89

VASP energy (eV/atom): -4.032

=====

VASP calculation (PBE-GGA) on crystalline YMg2Cl at its relaxed geometry.

Lattice parameters (Å, degrees): 5.9286 5.9286 3.4742 90.00 90.00 122.01
With the nearest neighbours (Å) after each atom.
Fractional positions:
Y (0.0000, 0.0000, 0.0000)  2 Cl 2.87
Mg (0.0000, 0.5000, 0.5000)  2 Mg 2.87
Mg (0.5000, 0.0000, 0.5000)  2 Mg 2.87
Cl (0.5000, 0.5000, 0.0000)  2 Y 2.87

Excess energy over the best structure of this formula in the dataset (meV per atom): 192

=====

VASP calculation (PBE-GGA) on crystalline YMgCl at its relaxed geometry.

Lattice parameters (Å, degrees): 4.7764 4.7764 4.7764 60.00 60.00 60.00
With the nearest neighbours (Å) after each atom.
Fractional positions:
Y (0.0000, 0.0000, 0.0000)  4 Cl 2.92
Mg (0.5000, 0.5000, 0.5000)  4 Cl 2.92
Cl (0.7500, 0.7500, 0.7500)  4 Mg 2.92, 4 Y 2.92

VASP energy (eV/atom): -3.641

=====

VASP calculation (PBE-GGA) on crystalline YMg2Cl at its relaxed geometry.

Lattice parameters (Å, degrees): 3.4717 5.5643 5.5841 90.00 90.00 90.00
With the nearest neighbours (Å) after each atom.
Fractional positions:
Y (0.0000, 0.0000, 0.0000)  2 Cl 2.79
Mg (0.5000, 0.5000, 0.2460)  2 Mg 2.75-2.84
Mg (0.5000, 0.5000, 0.7540)  2 Mg 2.75-2.84
Cl (0.0000, 0.0000, 0.5000)  2 Y 2.79

Excess energy over the best structure of this formula in the dataset (meV per atom): 239

=====

VASP calculation (PBE-GGA) on crystalline YMg2Cl at its relaxed geometry.

Lattice parameters (Å, degrees): 3.3924 3.3924 9.5188 90.00 90.00 114.61
With the nearest neighbours (Å) after each atom.
Fractional positions:
Y (0.0000, 0.0000, 0.0000)  4 Mg 3.25, 4 Y 3.39
Mg (0.5000, 0.5000, 0.2825)  2 Cl 2.77
Mg (0.5000, 0.5000, 0.7175)  2 Cl 2.77
Cl (0.0000, 0.0000, 0.5000)  4 Mg 2.77

Excess energy over the best structure of this formula in the dataset (meV per atom): 86

=====

VASP calculation (PBE-GGA) on crystalline YMg2Cl at its relaxed geometry.

Lattice parameters (Å, degrees): 5.2070 5.2070 5.2070 60.00 60.00 60.00
With the nearest neighbours (Å) after each atom.
Fractional positions:
Y (0.0000, 0.0000, 0.0000)  4 Cl 3.19, 4 Mg 3.19
Mg (0.2500, 0.2500, 0.2500)  4 Mg 3.19, 4 Y 3.19
Mg (0.5000, 0.5000, 0.5000)  4 Cl 3.19, 4 Mg 3.19
Cl (0.7500, 0.7500, 0.7500)  4 Mg 3.19, 4 Y 3.19

Excess energy over the best structure of this formula in the dataset (meV per atom): 396

=====

VASP calculation (PBE-GGA) on crystalline YMg2Cl at its relaxed geometry.

Lattice parameters (Å, degrees): 6.3265 6.3265 6.3265 148.17 126.07 64.00
With the nearest neighbours (Å) after each atom.
Fractional positions:
Y (0.0000, 0.0000, 0.0000)  2 Cl 2.74
Mg (0.4509, 0.4509, 0.0000)  2 Cl 3.22, 4 Y 3.39, 4 Mg 3.44-3.47
Mg (0.7283, 0.2283, 0.5000)  4 Cl 3.37, 4 Y 3.39-3.77, 6 Mg 3.44-3.73
Cl (0.1976, 0.6976, 0.5000)  2 Y 2.74

Excess energy over the best structure of this formula in the dataset (meV per atom): 142

=====

VASP calculation (PBE-GGA) on crystalline Y2Mg2Cl at its relaxed geometry.

Lattice parameters (Å, degrees): 9.1432 9.1432 9.1432 152.68 152.68 39.02
With the nearest neighbours (Å) after each atom.
Fractional positions:
Y (0.2500, 0.7500, 0.5000)  4 Y 3.05
Y (0.7500, 0.2500, 0.5000)  4 Y 3.05
Mg (0.0930, 0.0930, 0.0000)  1 Mg 3.20, 4 Cl 3.45, 4 Y 3.46
Mg (0.9070, 0.9070, 0.0000)  1 Mg 3.20, 4 Cl 3.45, 4 Y 3.46
Cl (0.5000, 0.5000, 0.0000)  8 Mg 3.45

Excess energy over the best structure of this formula in the dataset (meV per atom): 654

=====

Taking the records one at a time from the top gives theoretical density values of 5.82; 7.62; 5.59; 3.22; 3.49; 3.04; 2.67; 2.68; 2.77; 3.20; 2.66; 2.88; 2.88; 2.69; 2.71 g/cm³.